# 1
A plane-wave DFT calculation with GGA-PBE was carried out for a relaxed structure of IrRu2Br.

a = 4.6071 Å, b = 4.6071 Å, c = 4.6071 Å
α = 126.35°, β = 126.35°, γ = 79.32°
Atoms (fractional coordinates):
Ir 0.0000 0.0000 0.0000
Ru 0.2500 0.7500 0.5000
Ru 0.7500 0.2500 0.5000
Br 0.5000 0.5000 0.0000

DOS(E_F), states/eV/atom: 0.95

# 2
A plane-wave DFT calculation with GGA-PBE was carried out for a relaxed structure of Ir2RuBr.

a = 3.8718 Å, b = 3.8718 Å, c = 4.1677 Å
α = 90.00°, β = 90.00°, γ = 90.00°
Atoms (fractional coordinates):
Ir 0.0000 0.5000 0.0000
Ir 0.5000 0.0000 0.0000
Ru 0.0000 0.0000 0.5000
Br 0.5000 0.5000 0.5000

DOS(E_F), states/eV/atom: 1.29

# 3
A plane-wave DFT calculation with GGA-PBE was carried out for a relaxed structure of IrRuBr2.

a = 4.6031 Å, b = 4.6031 Å, c = 4.6031 Å
α = 60.00°, β = 60.00°, γ = 60.00°
Atoms (fractional coordinates):
Ir 0.0000 0.0000 0.0000
Ru 0.5000 0.5000 0.5000
Br 0.2500 0.2500 0.2500
Br 0.7500 0.7500 0.7500

DOS(E_F), states/eV/atom: 0.85

# 4
A plane-wave DFT calculation with GGA-PBE was carried out for a relaxed structure of Ir2RuBr.

a = 4.4866 Å, b = 4.4866 Å, c = 4.4866 Å
α = 60.00°, β = 60.00°, γ = 60.00°
Atoms (fractional coordinates):
Ir 0.2500 0.2500 0.2500
Ir 0.7500 0.7500 0.7500
Ru 0.0000 0.0000 0.0000
Br 0.5000 0.5000 0.5000

DOS(E_F), states/eV/atom: 1.51

# 5
A plane-wave DFT calculation with GGA-PBE was carried out for a relaxed structure of IrRu2Br.

a = 5.3406 Å, b = 5.3406 Å, c = 5.3406 Å
α = 148.89°, β = 127.94°, γ = 61.89°
Atoms (fractional coordinates):
Ir 0.0000 0.0000 0.0000
Ru 0.2613 0.7613 0.5000
Ru 0.7387 0.2387 0.5000
Br 0.5000 0.5000 0.0000

DOS(E_F), states/eV/atom: 1.42

# 6
A plane-wave DFT calculation with GGA-PBE was carried out for a relaxed structure of IrRu2Br.

a = 2.8074 Å, b = 3.6501 Å, c = 6.7297 Å
α = 90.00°, β = 90.00°, γ = 90.00°
Atoms (fractional coordinates):
Ir 0.0000 0.0000 0.0000
Ru 0.5000 0.5000 0.1918
Ru 0.5000 0.5000 0.8082
Br 0.5000 0.0000 0.5000

DOS(E_F), states/eV/atom: 1.36

# 7
A plane-wave DFT calculation with GGA-PBE was carried out for a relaxed structure of Ir2RuBr.

a = 2.8367 Å, b = 2.8367 Å, c = 8.0523 Å
α = 90.00°, β = 90.00°, γ = 90.00°
Atoms (fractional coordinates):
Ir 0.0000 0.0000 0.0000
Ir 0.5000 0.5000 0.2270
Ru 0.0000 0.0000 0.4502
Br 0.5000 0.5000 0.6837

DOS(E_F), states/eV/atom: 1.16

# 8
A plane-wave DFT calculation with GGA-PBE was carried out for a relaxed structure of Ir2RuBr.

a = 4.5422 Å, b = 4.5422 Å, c = 6.6534 Å
α = 95.52°, β = 95.52°, γ = 36.31°
Atoms (fractional coordinates):
Ir 0.0000 0.0000 0.0000
Ir 0.7383 0.7383 0.1643
Ru 0.2658 0.2658 0.8427
Br 0.6688 0.6688 0.5228

DOS(E_F), states/eV/atom: 1.26

# 9
A plane-wave DFT calculation with GGA-PBE was carried out for a relaxed structure of IrRu2Br.

a = 4.4526 Å, b = 4.4526 Å, c = 4.4526 Å
α = 60.00°, β = 60.00°, γ = 60.00°
Atoms (fractional coordinates):
Ir 0.0000 0.0000 0.0000
Ru 0.2500 0.2500 0.2500
Ru 0.7500 0.7500 0.7500
Br 0.5000 0.5000 0.5000

DOS(E_F), states/eV/atom: 0.92

# 10
A plane-wave DFT calculation with GGA-PBE was carried out for a relaxed structure of Ir2RuBr.

a = 2.8059 Å, b = 2.8059 Å, c = 8.2502 Å
α = 90.00°, β = 90.00°, γ = 90.00°
Atoms (fractional coordinates):
Ir 0.0000 0.0000 0.2187
Ir 0.0000 0.0000 0.7813
Ru 0.5000 0.5000 0.0000
Br 0.5000 0.5000 0.5000

DOS(E_F), states/eV/atom: 1.03

# 11
A plane-wave DFT calculation with GGA-PBE was carried out for a relaxed structure of Ir2RuBr.

a = 5.1891 Å, b = 5.1891 Å, c = 4.4697 Å
α = 93.38°, β = 93.38°, γ = 31.91°
Atoms (fractional coordinates):
Ir 0.2217 0.2217 0.2352
Ir 0.7783 0.7783 0.7648
Ru 0.5000 0.5000 0.0000
Br 0.0000 0.0000 0.5000

DOS(E_F), states/eV/atom: 0.90

# 12
A plane-wave DFT calculation with GGA-PBE was carried out for a relaxed structure of IrRuBr2.

a = 3.7158 Å, b = 3.7158 Å, c = 8.4700 Å
α = 101.83°, β = 101.83°, γ = 59.98°
Atoms (fractional coordinates):
Ir 0.0000 0.0000 0.0000
Ru 0.6226 0.6226 0.8583
Br 0.2259 0.2259 0.6550
Br 0.3965 0.3965 0.2051

DOS(E_F), states/eV/atom: 0.60

Number 1: calculated total energy -6.300 eV/atom, uncorrected formation energy 375 kJ/mol of formula units, offset from the most stable computed form 0.425 eV/atom. Number 2: calculated total energy -5.981 eV/atom, uncorrected formation energy 458 kJ/mol of formula units, offset from the most stable computed form 0.645 eV/atom. Number 3: calculated total energy -4.127 eV/atom, uncorrected formation energy 480 kJ/mol of formula units, offset from the most stable computed form 0.985 eV/atom. Number 4: calculated total energy -5.954 eV/atom, uncorrected formation energy 469 kJ/mol of formula units, offset from the most stable computed form 0.673 eV/atom. Number 5: calculated total energy -6.288 eV/atom, uncorrected formation energy 380 kJ/mol of formula units, offset from the most stable computed form 0.436 eV/atom. Number 6: calculated total energy -6.724 eV/atom, uncorrected formation energy 211 kJ/mol of formula units, offset from the most stable computed form 0.000 eV/atom. Number 7: calculated total energy -6.487 eV/atom, uncorrected formation energy 263 kJ/mol of formula units, offset from the most stable computed form 0.140 eV/atom. Number 8: calculated total energy -6.547 eV/atom, uncorrected formation energy 240 kJ/mol of formula units, offset from the most stable computed form 0.080 eV/atom. Number 9: calculated total energy -6.271 eV/atom, uncorrected formation energy 386 kJ/mol of formula units, offset from the most stable computed form 0.454 eV/atom. Number 10: calculated total energy -6.480 eV/atom, uncorrected formation energy 265 kJ/mol of formula units, offset from the most stable computed form 0.147 eV/atom. Number 11: calculated total energy -6.414 eV/atom, uncorrected formation energy 291 kJ/mol of formula units, offset from the most stable computed form 0.213 eV/atom. Number 12: calculated total energy -5.112 eV/atom, uncorrected formation energy 100 kJ/mol of formula units, offset from the most stable computed form 0.000 eV/atom.